First-principles (PBE-GGA) data for crystalline Pa2As3P at its relaxed geometry, as listed in Alexandria via LeMat-Bulk.

Geometry as CIF:
```
data_Pa2As3P
_chemical_formula_sum 'Pa2 As3 P1'
_symmetry_space_group_name_H-M 'P -4 m 2'
_symmetry_Int_Tables_number 115
_cell_length_a 3.992
_cell_length_b 3.992
_cell_length_c 8.036
_cell_angle_alpha 90.00
_cell_angle_beta 90.00
_cell_angle_gamma 90.00
loop_
_symmetry_equiv_pos_as_xyz
'x,y,z'
'y,-x,-z'
'-x,-y,z'
'-y,x,-z'
'-x,y,z'
'-y,-x,-z'
'x,-y,z'
'y,x,-z'
loop_
_atom_site_label
_atom_site_fract_x
_atom_site_fract_y
_atom_site_fract_z
Pa1 0.000 0.500 0.227
As1 0.000 0.500 0.859
As2 0.500 0.500 0.500
P1 0.000 0.000 0.500
```

Summary:
* energy: -0.5381 Ry/atom
* magnetization: 0.0 Bohr magnetons per cell
* DOS at the Fermi energy: 2.71 states/eV/cell
* ΔH_f (0 K): -0.930 eV per atom



First-principles (PBE-GGA) data for crystalline PaAsP2 at its relaxed geometry, as listed in Alexandria via LeMat-Bulk.

Geometry as CIF:
```
data_PaAsP2
_chemical_formula_sum 'Pa3 As3 P6'
_symmetry_space_group_name_H-M 'R -3 m'
_symmetry_Int_Tables_number 166
_symmetry_space_group_name_Hall '-R 3 2"'
_cell_length_a 4.5226
_cell_length_b 4.5226
_cell_length_c 12.7853
_cell_angle_alpha 90.00
_cell_angle_beta 90.00
_cell_angle_gamma 120.00
loop_
_atom_site_label
_atom_site_fract_x
_atom_site_fract_y
_atom_site_fract_z
Pa1 0.0000 0.0000 0.0000
As1 0.0000 0.0000 0.5000
P1 0.0000 0.0000 0.2307
```

Summary:
* energy: -0.4812 Ry/atom
* energy above the most stable polymorph in this dataset: 112 kJ/mol of formula units
* magnetization: 0.0 Bohr magnetons per cell
* DOS at the Fermi energy: 10.27 states/eV/cell
* ΔH_f (0 K): -0.306 eV per atom